4
Lattice="-2.8118 -1.5665 2.2834 2.7677 -1.5195 2.3658 -0.1133 6.2198 4.1275" Properties=species:S:1:pos:R:3 comment="Ho3Si | Alexandria via LeMat-Bulk | PBE | relaxed" final_energy_ev_per_atom=-4.864 polymorph_energy_kcal_per_mol_atoms=5.38 m_tot_mub_per_cell=0.56 sg="P-4m2, No. 115" e_form_raw_mev_per_atom=-74 pbc="T T T"
Si -0.0094 0.5170 0.3431
Ho -1.4889 3.7757 4.1671
Ho -0.0315 -1.0240 2.6690
Ho 1.3347 1.9384 2.9734